[1]
DFT (PBE-GGA) results for an optimized crystal structure of RePb3Se.

Computed properties:
- Energy relative to the lowest polymorph listed for this composition: 0 meV/atom

Lattice parameters (Å, degrees): 5.312 5.312 5.312 90.00 90.00 90.00
Space group Pm-3m (No. 221)
Unique sites:
Re 0.000 0.000 0.000 (multiplicity 1)
Pb 0.000 0.000 0.500 (multiplicity 3)
Se 0.500 0.500 0.500 (multiplicity 1)

***

[2]
DFT (PBE-GGA) results for an optimized crystal structure of Re2PbSe.

Computed properties:
- Energy relative to the lowest polymorph listed for this composition: 874 meV/atom

Lattice parameters (Å, degrees): 3.023 4.693 5.157 90.00 90.00 90.00
Space group Pmmm (No. 47)
Unique sites:
Re 0.000 0.000 0.000 (multiplicity 1)
Re 0.500 0.000 0.500 (multiplicity 1)
Pb 0.000 0.500 0.500 (multiplicity 1)
Se 0.500 0.500 0.000 (multiplicity 1)

***

[3]
DFT (PBE-GGA) results for an optimized crystal structure of RePbSe2.

Lattice parameters (Å, degrees): 3.124 3.956 7.055 90.00 90.00 90.00
Space group Pmm2 (No. 25)
Unique sites:
Re 0.000 0.000 0.000 (multiplicity 1)
Pb 0.500 0.500 0.681 (multiplicity 1)
Se 0.000 0.000 0.354 (multiplicity 1)
Se 0.500 0.500 0.106 (multiplicity 1)

***

[4]
DFT (PBE-GGA) results for an optimized crystal structure of RePbSe2.

Lattice parameters (Å, degrees): 3.101 3.101 9.137 90.00 90.00 90.00
Space group P4/mmm (No. 123)
Unique sites:
Re 0.000 0.000 0.000 (multiplicity 1)
Pb 0.000 0.000 0.500 (multiplicity 1)
Se 0.500 0.500 0.169 (multiplicity 2)

***

[5]
DFT (PBE-GGA) results for an optimized crystal structure of RePb2Se.

Lattice parameters (Å, degrees): 4.494 4.494 9.214 90.00 90.00 90.00
Space group I4/mmm (No. 139)
Unique sites:
Re 0.000 0.000 0.000 (multiplicity 2)
Pb 0.000 0.500 0.250 (multiplicity 4)
Se 0.000 0.000 0.500 (multiplicity 2)

***

[6]
DFT (PBE-GGA) results for an optimized crystal structure of RePbSe2.

Lattice parameters (Å, degrees): 6.838 6.838 6.838 90.00 90.00 90.00
Space group F-43m (No. 216)
Unique sites:
Re 0.000 0.000 0.000 (multiplicity 4)
Pb 0.250 0.250 0.250 (multiplicity 4)
Se 0.000 0.000 0.500 (multiplicity 4)
Se 0.250 0.250 0.750 (multiplicity 4)

***

Values for ΔE_f (raw), eV/atom, ordered as above
0.43 1.20 0.41 0.18 0.93 1.06
Values for V, Å³/atom, ordered as above
30.0 18.3 21.8 22.0 23.3 20.0
Values for Fermi-level density of states, states/eV/atom, ordered as above
1.217 1.413 0.892 0.811 0.849 0.786